Density functional theory data (GGA-PBE) for crystalline CuBiCl2 at its relaxed geometry.

Summary:
total moment = 0.00 μB per cell
SG = No. 225

```
CuBiCl2
1.0
-3.633 -0.656 3.370
-0.528 3.240 3.769
-3.913 3.109 0.094
Bi Cu Cl
1 1 2
Cartesian
-4.037 2.846 3.617 Bi
0.000 0.000 0.000 Cu
-2.019 1.423 1.808 Cl
-6.056 4.270 5.425 Cl
```

***

Density functional theory data (GGA-PBE) for crystalline CuBiCl3 at its relaxed geometry.

Summary:
total moment = 0.74 μB per cell
SG = No. 221

```
CuBiCl3
1.0
5.471 0.000 0.000
0.000 5.471 0.000
0.000 0.000 5.471
Bi Cu Cl
1 1 3
Cartesian
0.000 0.000 0.000 Bi
2.736 2.736 2.736 Cu
0.000 2.736 0.000 Cl
0.000 0.000 2.736 Cl
2.736 0.000 0.000 Cl
```

***

Density functional theory data (GGA-PBE) for crystalline CuBiCl2 at its relaxed geometry.

Summary:
total moment = 0.00 μB per cell
SG = No. 166

```
CuBiCl2
1.0
3.606 0.000 0.000
1.803 3.123 0.000
1.803 1.041 8.340
Bi Cu Cl
1 1 2
Cartesian
0.000 0.000 0.000 Bi
3.606 2.082 4.170 Cu
1.803 1.041 5.574 Cl
5.409 3.123 2.766 Cl
```

***

Density functional theory data (GGA-PBE) for crystalline Cu3BiCl at its relaxed geometry.

Summary:
total moment = 0.00 μB per cell
SG = No. 221

```
Cu3BiCl
1.0
4.607 0.000 0.000
0.000 4.607 0.000
0.000 0.000 4.607
Bi Cu Cl
1 3 1
Cartesian
2.304 2.304 2.304 Bi
0.000 2.304 0.000 Cu
0.000 0.000 2.304 Cu
2.304 0.000 0.000 Cu
0.000 0.000 0.000 Cl
```

***

Density functional theory data (GGA-PBE) for crystalline CuBiCl3 at its relaxed geometry.

Summary:
total moment = 0.00 μB per cell
SG = No. 14

```
CuBiCl3
1.0
-1.729 4.848 3.603
-7.186 -0.337 -2.995
-2.924 -8.279 7.945
Cu Bi Cl
4 4 12
Cartesian
-5.355 0.571 -0.112 Cu
-2.520 -2.547 3.572 Cu
-6.483 -4.339 8.664 Cu
-9.319 -1.221 4.980 Cu
-6.795 2.749 3.088 Bi
-2.815 0.122 3.972 Bi
-5.043 -6.518 5.464 Bi
-9.023 -3.890 4.580 Bi
-7.013 -4.392 2.920 Cl
-4.852 -5.912 8.042 Cl
-4.825 0.624 5.633 Cl
-6.987 2.144 0.511 Cl
-3.882 -2.022 8.947 Cl
-7.111 -3.313 6.702 Cl
-7.956 -1.746 -0.394 Cl
-4.728 -0.455 1.851 Cl
-8.394 -0.394 3.105 Cl
-4.174 3.126 2.723 Cl
-3.445 -3.375 5.447 Cl
-7.664 -6.895 5.830 Cl
```

***

Density functional theory data (GGA-PBE) for crystalline Cu2BiCl at its relaxed geometry.

Summary:
total moment = 0.00 μB per cell
SG = No. 225

```
Cu2BiCl
1.0
-4.811 -0.111 0.341
-2.423 3.981 1.247
-2.704 2.301 -3.266
Bi Cu Cl
1 2 1
Cartesian
-4.969 3.086 -0.839 Bi
-2.484 1.543 -0.420 Cu
-7.453 4.628 -1.259 Cu
0.000 0.000 0.000 Cl
```

***

Density functional theory data (GGA-PBE) for crystalline CuBiCl3 at its relaxed geometry.

Summary:
total moment = 0.00 μB per cell
SG = No. 221

```
CuBiCl3
1.0
-0.042 4.153 2.393
-4.460 -0.910 1.500
1.754 -2.213 3.872
Bi Cu Cl
1 1 3
Cartesian
-1.374 0.515 3.882 Bi
0.000 0.000 0.000 Cu
-2.230 -0.455 0.750 Cl
0.877 -1.107 1.936 Cl
-0.021 2.076 1.196 Cl
```

***

Density functional theory data (GGA-PBE) for crystalline Cu3BiCl9 at its relaxed geometry.

Summary:
total moment = 2.25 μB per cell
SG = No. 9

```
Cu3BiCl9
1.0
6.998 0.000 2.945
2.997 9.360 2.666
-0.691 0.130 11.429
Cu Bi Cl
6 2 18
Cartesian
6.731 5.145 11.350 Cu
0.022 0.400 1.965 Cu
9.094 9.039 14.960 Cu
2.787 4.294 5.744 Cu
4.145 2.511 10.636 Cu
5.338 7.127 5.980 Cu
0.876 4.813 12.729 Bi
3.129 0.068 7.115 Bi
2.822 2.075 5.279 Cl
2.404 6.820 11.666 Cl
3.020 3.097 12.502 Cl
4.790 7.712 8.090 Cl
0.910 0.815 8.520 Cl
2.114 5.430 3.869 Cl
6.509 6.549 4.165 Cl
4.624 1.933 8.529 Cl
8.541 8.580 8.862 Cl
6.843 3.965 13.305 Cl
6.390 7.367 11.577 Cl
7.096 2.622 5.312 Cl
4.822 5.006 6.416 Cl
4.194 0.391 11.309 Cl
4.870 4.580 10.230 Cl
5.121 9.196 5.178 Cl
9.060 9.285 5.618 Cl
1.802 4.670 7.721 Cl
```

***

Density functional theory data (GGA-PBE) for crystalline Ga2CuBiCl at its relaxed geometry.

Summary:
total moment = 0.00 μB per cell
SG = No. 123

```
Ga2CuBiCl
1.0
5.955 0.000 0.000
0.000 4.933 0.000
0.000 0.000 5.955
Cu Bi Ga Cl
1 1 2 1
Cartesian
0.000 2.467 0.000 Cu
0.000 0.000 0.000 Bi
0.000 0.000 2.978 Ga
2.978 0.000 0.000 Ga
2.978 2.467 2.978 Cl
```

***

Density functional theory data (GGA-PBE) for crystalline CuBiI2Cl at its relaxed geometry.

Summary:
total moment = 0.00 μB per cell
SG = No. 123

```
CuBiI2Cl
1.0
-4.087 2.890 1.569
-2.949 -4.329 0.291
1.530 -0.689 5.254
I Bi Cu Cl
2 1 1 1
Cartesian
-1.474 -2.164 0.146 I
-2.043 1.445 0.785 I
0.765 -0.345 2.627 Bi
0.000 0.000 0.000 Cu
-2.753 -1.064 3.557 Cl
```

***

Density functional theory data (GGA-PBE) for crystalline KCuBiCl2 at its relaxed geometry.

Summary:
total moment = 0.90 μB per cell
SG = No. 123

```
KCuBiCl2
1.0
5.421 0.000 0.000
0.000 5.606 0.000
0.000 0.000 5.421
K Bi Cu Cl
1 1 1 2
Cartesian
0.000 0.000 0.000 K
2.710 2.803 2.710 Bi
0.000 2.803 0.000 Cu
0.000 0.000 2.710 Cl
2.710 0.000 0.000 Cl
```

***

Density functional theory data (GGA-PBE) for crystalline K3Cu2BiCl9 at its relaxed geometry.

Summary:
total moment = 0.60 μB per cell
SG = No. 164

```
K3Cu2BiCl9
1.0
7.174 0.000 0.000
-3.587 6.213 0.000
0.000 0.000 9.009
K Cu Bi Cl
3 2 1 9
Cartesian
0.000 4.142 6.398 K
0.000 0.000 0.000 K
3.587 2.071 2.611 K
0.000 4.142 1.285 Cu
3.587 2.071 7.724 Cu
0.000 0.000 4.505 Bi
5.308 1.078 6.137 Cl
3.587 4.058 6.137 Cl
1.866 1.078 6.137 Cl
1.721 5.135 2.872 Cl
0.000 2.155 2.872 Cl
-1.721 5.135 2.872 Cl
3.587 0.000 0.000 Cl
-1.793 3.106 0.000 Cl
1.793 3.106 0.000 Cl
```

***

Electronic total energy per entry: -0.204; -0.204; -0.245; -0.223; -0.241; -0.221; -0.218; -0.228; -0.211; -0.178; -0.173; -0.245 Ry/atom
Calculated density per entry: 6457; 3841; 6071; 7387; 4358; 7770; 5715; 3114; 4247; 6146; 3856; 3194 kg/m3
ΔE_f (raw) per entry: 0.1437; -0.0757; -0.4169; 0.5724; -0.5701; 0.4777; -0.2687; -0.5783; 0.3034; 0.1570; 0.2044; -1.1953 eV/atom